No. 1
Here is an optimized crystal structure of LaTaNi2N from Alexandria via LeMat-Bulk. Energies are from GGA-PBE.

extended XYZ file:
```
5
Lattice="4.462 0.000 0.000 0.000 4.462 0.000 0.000 0.000 5.303" Properties=species:S:1:pos:R:3 pbc="T T T"
La 0.000 0.000 0.000
Ta 0.000 0.000 2.652
Ni 0.000 2.231 0.000
Ni 2.231 0.000 0.000
N 2.231 2.231 2.652
```

## Properties
Its space group is P4/mmm. Its raw formation energy is 2.73 eV/atom.

No. 2
Here is an optimized crystal structure of LaTa2NiN4 from Alexandria via LeMat-Bulk. Energies are from GGA-PBE.

extended XYZ file:
```
16
Lattice="1.623 -5.364 0.000 1.623 5.364 0.000 0.000 0.000 10.876" Properties=species:S:1:pos:R:3 pbc="T T T"
La 1.623 4.224 8.157
La 1.623 -4.224 2.719
Ta 1.623 1.404 6.063
Ta 1.623 1.404 10.251
Ta 1.623 -1.404 0.625
Ta 1.623 -1.404 4.813
Ni 1.623 3.611 2.719
Ni 1.623 -3.611 8.157
N 0.000 0.000 0.000
N 0.000 0.000 5.438
N 1.623 2.479 1.145
N 1.623 2.479 4.294
N 1.623 0.633 8.157
N 1.623 -0.633 2.719
N 1.623 -2.479 6.583
N 1.623 -2.479 9.732
```

## Properties
Its space group is Cmcm. Its raw formation energy is -1.00 eV/atom.

No. 3
Here is an optimized crystal structure of La2TcNiN from Alexandria via LeMat-Bulk. Energies are from GGA-PBE.

extended XYZ file:
```
5
Lattice="5.186 0.000 0.000 0.000 5.186 0.000 0.000 0.000 3.856" Properties=species:S:1:pos:R:3 pbc="T T T"
La 0.000 2.593 0.000
La 2.593 0.000 0.000
Tc 0.000 0.000 1.928
Ni 2.593 2.593 1.928
N 0.000 0.000 0.000
```

## Properties
Its space group is P4/mmm. Its raw formation energy is -0.47 eV/atom.

No. 4
Here is an optimized crystal structure of La2Tc2NiN6 from Alexandria via LeMat-Bulk. Energies are from GGA-PBE.

extended XYZ file:
```
11
Lattice="2.956 1.707 5.202 -2.956 1.707 5.202 0.000 -3.414 5.202" Properties=species:S:1:pos:R:3 pbc="T T T"
La 0.000 0.000 3.202
La 0.000 0.000 12.404
Tc 0.000 0.000 6.512
Tc 0.000 0.000 9.094
Ni 0.000 0.000 0.000
N -1.576 -0.910 9.135
N 0.000 -1.820 6.471
N -1.576 0.910 6.471
N 1.576 -0.910 9.135
N 0.000 1.820 9.135
N 1.576 0.910 6.471
```

## Properties
Its space group is R-3m. Its raw formation energy is -0.25 eV/atom.

No. 5
Here is an optimized crystal structure of La2NiTeN from Alexandria via LeMat-Bulk. Energies are from GGA-PBE.

extended XYZ file:
```
5
Lattice="5.309 0.000 0.000 0.000 5.309 0.000 0.000 0.000 3.829" Properties=species:S:1:pos:R:3 pbc="T T T"
La 0.000 2.654 0.000
La 2.654 0.000 0.000
Ni 0.000 0.000 1.914
Te 2.654 2.654 1.914
N 0.000 0.000 0.000
```

## Properties
Its space group is P4/mmm. Its raw formation energy is -1.03 eV/atom.

No. 6
Here is an optimized crystal structure of LaNiTe2N from Alexandria via LeMat-Bulk. Energies are from GGA-PBE.

extended XYZ file:
```
5
Lattice="6.372 0.000 0.000 0.000 6.372 0.000 0.000 0.000 3.961" Properties=species:S:1:pos:R:3 pbc="T T T"
La 0.000 0.000 0.000
Ni 3.186 3.186 1.980
Te 0.000 3.186 0.000
Te 3.186 0.000 0.000
N 0.000 0.000 1.980
```

## Properties
Its space group is P4/mmm. Its raw formation energy is 0.73 eV/atom.